(1)
Computed, not measured: an optimized crystal structure of Re5Os at the PBE level of DFT.

a b c (Å): 3.2257 3.2257 8.7091
angles (deg): 90.00 90.00 90.00
Sites, in units of the cell vectors:
Re  0.5000  0.5000  0.8373
Re  0.0000  0.0000  0.3263
Re  0.5000  0.5000  0.1627
Re  0.5000  0.5000  0.5000
Re  0.0000  0.0000  0.6737
Os  0.0000  0.0000  0.0000

## Properties
ρ ... 20.546 g/cm³
Magnetic moment ... 0.00 μB/atom
Density of states at the Fermi level ... 5.53 states/eV/f.u.
Relative energy among the computed polymorphs ... 431 meV per atom



(2)
Computed, not measured: an optimized crystal structure of Re5Os at the PBE level of DFT.

a b c (Å): 2.7713 5.2450 6.5561
angles (deg): 76.22 90.00 105.32
Sites, in units of the cell vectors:
Re  0.0550  0.1101  0.3876
Re  0.3342  0.6683  0.3335
Re  0.7216  0.4432  0.0546
Re  0.6651  0.3301  0.6686
Re  0.3907  0.7813  0.7235
Os  0.0001  0.0003  0.9989

## Properties
ρ ... 20.906 g/cm³
Magnetic moment ... 0.00 μB/atom
Density of states at the Fermi level ... 4.31 states/eV/f.u.
Relative energy among the computed polymorphs ... 0 meV per atom



(3)
Computed, not measured: an optimized crystal structure of ReOs2 at the PBE level of DFT.

a b c (Å): 5.3287 4.2417 7.9508
angles (deg): 90.00 90.00 90.00
Sites, in units of the cell vectors:
Os  0.1870  0.2500  0.5596
Os  0.8130  0.7500  0.4404
Os  0.5594  0.2500  0.2945
Os  0.9406  0.7500  0.7945
Os  0.0594  0.2500  0.2055
Os  0.3130  0.7500  0.0596
Os  0.6870  0.2500  0.9404
Os  0.4406  0.7500  0.7055
Re  0.7789  0.7500  0.1171
Re  0.7211  0.2500  0.6171
Re  0.2211  0.2500  0.8829
Re  0.2789  0.7500  0.3829

## Properties
ρ ... 20.944 g/cm³
Magnetic moment ... 0.00 μB/atom
Density of states at the Fermi level ... 1.96 states/eV/f.u.
Relative energy among the computed polymorphs ... 325 meV per atom



(4)
Computed, not measured: an optimized crystal structure of Re5Os at the PBE level of DFT.

a b c (Å): 4.3754 4.3754 5.4694
angles (deg): 90.00 90.00 120.00
Sites, in units of the cell vectors:
Re  0.6667  0.3333  0.7487
Re  0.3333  0.6667  0.2513
Re  0.6667  0.3333  0.2513
Re  0.3333  0.6667  0.7487
Re  0.0000  0.0000  0.5000
Os  0.0000  0.0000  0.0000

## Properties
ρ ... 20.533 g/cm³
Magnetic moment ... 0.00 μB/atom
Density of states at the Fermi level ... 2.89 states/eV/f.u.
Relative energy among the computed polymorphs ... 202 meV per atom



(5)
Computed, not measured: an optimized crystal structure of ReOs2 at the PBE level of DFT.

a b c (Å): 7.4390 7.4390 2.7571
angles (deg): 90.00 90.00 120.00
Sites, in units of the cell vectors:
Re  0.0000  0.0000  0.5000
Re  0.6667  0.3333  0.0000
Re  0.3333  0.6667  0.0000
Os  0.0000  0.3019  0.0000
Os  0.6398  0.0000  0.5000
Os  0.3602  0.3602  0.5000
Os  0.3019  0.0000  0.0000
Os  0.6981  0.6981  0.0000
Os  0.0000  0.6398  0.5000

## Properties
ρ ... 21.364 g/cm³
Magnetic moment ... 0.00 μB/atom
Density of states at the Fermi level ... 2.30 states/eV/f.u.
Relative energy among the computed polymorphs ... 150 meV per atom



(6)
Computed, not measured: an optimized crystal structure of ReOs2 at the PBE level of DFT.

a b c (Å): 4.7519 4.7519 4.7519
angles (deg): 146.49 131.93 59.86
Sites, in units of the cell vectors:
Re  0.0000  0.0000  0.0000
Os  0.6661  0.6661  0.0000
Os  0.3339  0.3339  0.0000

## Properties
ρ ... 21.548 g/cm³
Magnetic moment ... 0.00 μB/atom
Density of states at the Fermi level ... 2.89 states/eV/f.u.
Relative energy among the computed polymorphs ... 157 meV per atom



(7)
Computed, not measured: an optimized crystal structure of ReOs2 at the PBE level of DFT.

a b c (Å): 6.1356 6.1356 6.1356
angles (deg): 154.21 154.21 36.79
Sites, in units of the cell vectors:
Re  0.3333  0.3333  0.0000
Os  0.0002  0.0002  0.0000
Os  0.6665  0.6665  0.0000

## Properties
ρ ... 21.557 g/cm³
Magnetic moment ... 0.00 μB/atom
Density of states at the Fermi level ... 2.68 states/eV/f.u.
Relative energy among the computed polymorphs ... 160 meV per atom



(8)
Computed, not measured: an optimized crystal structure of ReOs2 at the PBE level of DFT.

a b c (Å): 3.8742 3.8742 11.9520
angles (deg): 99.33 99.33 90.05
Sites, in units of the cell vectors:
Re  0.3320  0.8330  0.6661
Re  0.1669  0.6680  0.3339
Re  0.0830  0.0819  0.1661
Re  0.9180  0.9170  0.8339
Os  0.8337  0.3332  0.6668
Os  0.6668  0.1663  0.3332
Os  0.0003  0.5002  0.9995
Os  0.5832  0.5837  0.1668
Os  0.2497  0.2497  0.5005
Os  0.7502  0.7503  0.4995
Os  0.4998  0.9997  0.0005
Os  0.4163  0.4168  0.8332

## Properties
ρ ... 21.556 g/cm³
Magnetic moment ... 0.00 μB/atom
Density of states at the Fermi level ... 3.07 states/eV/f.u.
Relative energy among the computed polymorphs ... 149 meV per atom



(9)
Computed, not measured: an optimized crystal structure of ReOs5 at the PBE level of DFT.

a b c (Å): 2.7602 7.2930 4.3656
angles (deg): 90.00 90.00 79.09
Sites, in units of the cell vectors:
Os  0.2212  0.5576  0.5000
Os  0.3332  0.3335  0.0000
Os  0.6674  0.6653  0.0000
Os  0.0000  0.9999  0.0000
Os  0.5550  0.8900  0.5000
Re  0.8899  0.2203  0.5000

## Properties
ρ ... 21.886 g/cm³
Magnetic moment ... 0.00 μB/atom
Density of states at the Fermi level ... 4.58 states/eV/f.u.
Relative energy among the computed polymorphs ... 20 meV per atom



(10)
Computed, not measured: an optimized crystal structure of Re4Os3 at the PBE level of DFT.

a b c (Å): 4.7713 4.7713 6.1413
angles (deg): 82.57 82.57 48.08
Sites, in units of the cell vectors:
Re  0.2874  0.2874  0.1431
Re  0.7126  0.7126  0.8569
Re  0.4273  0.4273  0.7135
Re  0.5727  0.5727  0.2865
Os  0.1421  0.1421  0.5727
Os  0.8579  0.8579  0.4273
Os  0.0000  0.0000  0.0000

## Properties
ρ ... 21.211 g/cm³
Magnetic moment ... 0.00 μB/atom
Density of states at the Fermi level ... 7.21 states/eV/f.u.
Relative energy among the computed polymorphs ... 0 meV per atom



(11)
Computed, not measured: an optimized crystal structure of ReOs7 at the PBE level of DFT.

a b c (Å): 3.2905 3.2905 11.0389
angles (deg): 90.00 90.00 90.00
Sites, in units of the cell vectors:
Os  0.0000  0.0000  0.6270
Os  0.5000  0.5000  0.7521
Os  0.0000  0.0000  0.8730
Os  0.0000  0.0000  0.3730
Os  0.5000  0.5000  0.2479
Os  0.0000  0.0000  0.1270
Os  0.5000  0.5000  0.0000
Re  0.5000  0.5000  0.5000

## Properties
ρ ... 21.088 g/cm³
Magnetic moment ... 0.45 μB/atom
Density of states at the Fermi level ... 10.93 states/eV/f.u.
Relative energy among the computed polymorphs ... 572 meV per atom



(12)
Computed, not measured: an optimized crystal structure of Re5Os at the PBE level of DFT.

a b c (Å): 5.1597 5.1597 5.1597
angles (deg): 129.84 115.81 85.63
Sites, in units of the cell vectors:
Re  0.0847  0.3335  0.7513
Re  0.9153  0.6666  0.2487
Re  0.5000  0.0000  0.5000
Re  0.4178  0.6666  0.7513
Re  0.5822  0.3335  0.2487
Os  0.0000  0.0000  0.0000

## Properties
ρ ... 20.514 g/cm³
Magnetic moment ... 0.00 μB/atom
Density of states at the Fermi level ... 2.54 states/eV/f.u.
Relative energy among the computed polymorphs ... 201 meV per atom